The following is a PBE calculation of crystalline Li2CaCuPb at its relaxed geometry, from Alexandria.

Cell lengths 4.8917, 5.0772, 4.8917 Å; angles 90.00, 90.00, 90.00 degrees
With the nearest neighbours (Å) after each atom.
Fractional positions:
1 Ca 0.5000 0.5000 0.5000  4 Pb 3.46, 8 Li 3.53
2 Pb 0.0000 0.5000 0.0000  2 Cu 2.54
3 Li 0.0000 0.0000 0.5000  2 Cu 2.45
4 Cu 0.0000 0.0000 0.0000  4 Li 2.45, 2 Pb 2.54
5 Li 0.5000 0.0000 0.0000  2 Cu 2.45

Computed properties:
V in A^3/atom: 24.30
SG: P4/mmm (123)

The following is a PBE calculation of crystalline Li3Ca2Cu12Pd at its relaxed geometry, from Alexandria.

Cell lengths 10.2590, 10.2590, 10.2590 Å; angles 33.46, 33.46, 33.46 degrees
With the nearest neighbours (Å) after each atom.
Fractional positions:
1 Li 0.0000 0.5000 0.0000  4 Cu 2.37
2 Ca 0.3555 0.3555 0.3555  12 Cu 3.09-3.33
3 Cu 0.0733 0.6390 0.0733  4 Cu 2.40-2.56, 1 Pd 2.55
4 Cu 0.9267 0.3610 0.9267  4 Cu 2.40-2.56, 1 Pd 2.55
5 Cu 0.8165 0.4151 0.4151  2 Li 2.37, 4 Cu 2.37-2.40
6 Cu 0.3610 0.9267 0.9267  4 Cu 2.40-2.56, 1 Pd 2.55
7 Cu 0.5849 0.5849 0.1835  2 Li 2.37, 4 Cu 2.37-2.40
8 Cu 0.4151 0.4151 0.8165  2 Li 2.37, 4 Cu 2.37-2.40
9 Cu 0.9267 0.9267 0.3610  4 Cu 2.40-2.56, 1 Pd 2.55
10 Li 0.5000 0.0000 0.0000  4 Cu 2.37
11 Pd 0.0000 0.0000 0.0000  6 Cu 2.55
12 Cu 0.6390 0.0733 0.0733  4 Cu 2.40-2.56, 1 Pd 2.55
13 Cu 0.1835 0.5849 0.5849  2 Li 2.37, 4 Cu 2.37-2.40
14 Cu 0.4151 0.8165 0.4151  2 Li 2.37, 4 Cu 2.37-2.40
15 Cu 0.0733 0.0733 0.6390  4 Cu 2.40-2.56, 1 Pd 2.55
16 Cu 0.5849 0.1835 0.5849  2 Li 2.37, 4 Cu 2.37-2.40
17 Ca 0.6445 0.6445 0.6445  12 Cu 3.09-3.33
18 Li 0.0000 0.0000 0.5000  4 Cu 2.37

Computed properties:
V in A^3/atom: 16.24
SG: R-3m (166)

The following is a PBE calculation of crystalline LiCa2Cu2Pd5 at its relaxed geometry, from Alexandria.

Cell lengths 3.9004, 9.4426, 9.4426 Å; angles 90.00, 90.00, 90.00 degrees
With the nearest neighbours (Å) after each atom.
Fractional positions:
1 Pd 0.5000 0.2037 0.0665  2 Cu 2.61, 2 Li 2.81, 3 Pd 2.86-2.87
2 Pd 0.5000 0.9335 0.2037  2 Cu 2.61, 2 Li 2.81, 3 Pd 2.86-2.87
3 Pd 0.5000 0.7963 0.9335  2 Cu 2.61, 2 Li 2.81, 3 Pd 2.86-2.87
4 Cu 0.0000 0.8787 0.3787  6 Pd 2.54-2.61, 1 Ca 2.70
5 Pd 0.5000 0.0000 0.5000  4 Cu 2.54
6 Ca 0.0000 0.1763 0.3237  3 Cu 2.70-2.86
7 Pd 0.5000 0.0665 0.7963  2 Cu 2.61, 2 Li 2.81, 3 Pd 2.86-2.87
8 Pd 0.5000 0.5665 0.7037  2 Cu 2.61, 2 Li 2.81, 3 Pd 2.86-2.87
9 Cu 0.0000 0.3787 0.1213  6 Pd 2.54-2.61, 1 Ca 2.70
10 Cu 0.0000 0.6213 0.8787  6 Pd 2.54-2.61, 1 Ca 2.70
11 Pd 0.5000 0.5000 0.0000  4 Cu 2.54
12 Ca 0.0000 0.6763 0.1763  3 Cu 2.70-2.86
13 Pd 0.5000 0.4335 0.2963  2 Cu 2.61, 2 Li 2.81, 3 Pd 2.86-2.87
14 Li 0.0000 0.0000 0.0000  8 Pd 2.81
15 Pd 0.5000 0.2963 0.5665  2 Cu 2.61, 2 Li 2.81, 3 Pd 2.86-2.87
16 Ca 0.0000 0.8237 0.6763  3 Cu 2.70-2.86
17 Cu 0.0000 0.1213 0.6213  6 Pd 2.54-2.61, 1 Ca 2.70
18 Ca 0.0000 0.3237 0.8237  3 Cu 2.70-2.86
19 Pd 0.5000 0.7037 0.4335  2 Cu 2.61, 2 Li 2.81, 3 Pd 2.86-2.87
20 Li 0.0000 0.5000 0.5000  8 Pd 2.81

Computed properties:
V in A^3/atom: 17.39
SG: P4/mbm (127)

| no. | DOS(E_F) (states/eV per atom) | energy (eV/atom) | magnetic moment (μB per formula unit) |
| --- | --- | --- | --- |
| 1 | 0.612 | -2.794 | 0.0 |
| 2 | 0.270 | -3.450 | 0.0 |
| 3 | 0.394 | -4.458 | 0.0 |